Compound: YV2O2
Source: Alexandria
Functional: PBE with a Hubbard U
Structure: relaxed

Structure (POSCAR):
```
YV2O2
1.0
6.057 4.504 1.980
-4.378 -1.183 6.350
2.552 -6.826 -2.788
Y V O
4 8 8
Cartesian
-2.436 -2.179 5.106
1.869 -3.340 4.702
-0.247 -1.587 1.932
-1.160 -5.592 3.712
1.419 -5.605 -0.623
1.947 0.390 1.876
3.965 -2.619 0.171
3.616 0.940 3.967
0.640 -4.395 1.698
0.240 -0.936 5.246
4.150 -2.878 2.883
0.944 1.083 6.946
5.755 -1.206 0.239
3.162 -0.506 0.482
3.401 -4.485 -0.478
2.401 1.836 5.360
2.360 -4.291 2.816
0.299 -0.071 3.384
4.715 -1.012 3.532
5.265 1.401 2.459
```

Values from the calculation:
ρ in g/cm3: 4.05
Total energy in eV per cell: -139.79
D(E_F) in states/eV/cell: 4.99
Space-group type: I4_1/amd, No. 141
Magnetization in μB/f.u.: 6.150
Excess energy over the best structure of this formula in the dataset in meV per atom: 451